No. 1
Entry from Alexandria: a geometry-optimized BaGa structure (GGA-PBE).

Values from the calculation:
The symmetry is I-43m. As for the crystal system: cubic. Its formation energy is -0.056 eV/atom. Its total energy is -2.53 eV per atom.

Lattice parameters (Å, degrees): 9.790 9.790 9.790 90.00 90.00 90.00
Element x y z (fractional)
Ba 0.296 0.296 0.296
Ba 0.296 0.704 0.704
Ba 0.704 0.296 0.704
Ba 0.704 0.704 0.296
Ba 0.796 0.796 0.796
Ba 0.796 0.204 0.204
Ba 0.204 0.796 0.204
Ba 0.204 0.204 0.796
Ga 0.100 0.100 0.100
Ga 0.100 0.900 0.900
Ga 0.900 0.100 0.900
Ga 0.900 0.900 0.100
Ga 0.600 0.600 0.600
Ga 0.600 0.400 0.400
Ga 0.400 0.600 0.400
Ga 0.400 0.400 0.600

No. 2
Entry from Alexandria: a geometry-optimized Rh2W2Se structure (GGA-PBE).

Values from the calculation:
Its energy relative to the elements, uncorrected is 0.50 eV/atom. The symmetry is I4/mmm. As for the crystal system: tetragonal. Its total energy is -8.32 eV per atom.

Lattice parameters (Å, degrees): 7.061 7.061 7.061 150.42 150.42 42.33
Element x y z (fractional)
Rh 0.250 0.750 0.500
Rh 0.750 0.250 0.500
W 0.608 0.608 0.000
W 0.392 0.392 0.000
Se 0.000 0.000 0.000

No. 3
Entry from Alexandria: a geometry-optimized Ca3Tm structure (GGA-PBE).

Values from the calculation:
The symmetry is Pmm2. As for the crystal system: orthorhombic. Its formation energy is 0.230 eV/atom. Its total energy is -2.39 eV per atom. The relative energy among the computed polymorphs is 98 meV per atom.

Lattice parameters (Å, degrees): 3.691 3.520 11.976 90.00 90.00 90.00
Last column: magnetic moment on the atom in μB.
Element x y z (fractional)
Ca 0.000 0.500 0.465  0.00
Ca 0.500 0.500 0.189  0.01
Ca 0.500 0.000 0.713  0.00
Tm 0.000 0.000 0.967  0.08

No. 4
Entry from Alexandria: a geometry-optimized SiBr2Cl structure (GGA-PBE).

Values from the calculation:
Its energy relative to the elements, uncorrected is 0.33 eV/atom. The symmetry is R-3m. As for the crystal system: trigonal. Its total energy is -2.33 eV per atom. The relative energy among the computed polymorphs is 804 meV per atom.

Lattice parameters (Å, degrees): 9.219 9.219 9.219 24.21 24.21 24.21
Last column: magnetic moment on the atom in μB.
Element x y z (fractional)
Si 0.000 0.000 0.000  0.09
Br 0.917 0.917 0.917  0.11
Br 0.083 0.083 0.083  0.11
Cl 0.500 0.500 0.500  0.12

No. 5
Entry from Alexandria: a geometry-optimized Tl4HgSeO structure (GGA-PBE).

Values from the calculation:
Its energy relative to the elements, uncorrected is -0.40 eV/atom. The symmetry is P2_1/m. As for the crystal system: monoclinic. Its total energy is -3.00 eV per atom.

Lattice parameters (Å, degrees): 7.026 7.131 9.504 90.00 108.96 90.00
Element x y z (fractional)
Tl 0.042 0.499 0.736
Tl 0.958 0.999 0.264
Tl 0.958 0.501 0.264
Tl 0.042 0.001 0.736
Tl 0.430 0.750 0.172
Tl 0.570 0.250 0.828
Tl 0.382 0.750 0.559
Tl 0.618 0.250 0.441
Hg 0.750 0.750 0.920
Hg 0.250 0.250 0.080
Se 0.781 0.750 0.475
Se 0.219 0.250 0.525
O 0.202 0.750 0.301
O 0.798 0.250 0.699

No. 6
Entry from Alexandria: a geometry-optimized Pm2SiO5 structure (GGA-PBE).

Values from the calculation:
Its energy relative to the elements, uncorrected is -2.96 eV/atom. The symmetry is I4mm. As for the crystal system: tetragonal. Its total energy is -7.92 eV per atom. The relative energy among the computed polymorphs is 339 meV per atom.

Lattice parameters (Å, degrees): 5.486 5.486 5.335 120.94 120.95 90.00
Element x y z (fractional)
Pm 0.210 0.710 0.420
Pm 0.710 0.210 0.420
Si 0.975 0.975 0.950
O 0.813 0.252 0.065
O 0.252 0.252 0.065
O 0.813 0.813 0.065
O 0.252 0.813 0.065
O 0.753 0.753 0.506

No. 7
Entry from Alexandria: a geometry-optimized MnSiAg3 structure (GGA-PBE).

Values from the calculation:
Its energy relative to the elements, uncorrected is 0.64 eV/atom. The symmetry is Pm-3m. As for the crystal system: cubic. Its total energy is -3.99 eV per atom. The relative energy among the computed polymorphs is 0 meV per atom.

Lattice parameters (Å, degrees): 4.745 4.745 4.745 90.00 90.00 90.00
Last column: magnetic moment on the atom in μB.
Element x y z (fractional)
Si 0.000 0.000 0.000  0.04
Mn 0.500 0.500 0.500  4.33
Ag 0.000 0.500 0.000  0.00
Ag 0.000 0.000 0.500  0.04
Ag 0.500 0.000 0.000  0.00

No. 8
Entry from Alexandria: a geometry-optimized Al4Hg5 structure (GGA-PBE).

Values from the calculation:
The symmetry is P6_3/mcm. As for the crystal system: hexagonal. Its formation energy is 0.220 eV/atom. Its total energy is -1.61 eV per atom. The relative energy among the computed polymorphs is 35 meV per atom.

Lattice parameters (Å, degrees): 9.002 9.002 5.662 90.00 90.00 120.00
Element x y z (fractional)
Hg 0.000 0.720 0.250
Hg 0.280 0.280 0.250
Hg 0.720 0.000 0.250
Hg 0.000 0.280 0.750
Hg 0.720 0.720 0.750
Hg 0.280 0.000 0.750
Hg 0.667 0.333 0.000
Hg 0.333 0.667 0.500
Hg 0.333 0.667 0.000
Hg 0.667 0.333 0.500
Al 0.000 0.000 0.000
Al 0.000 0.000 0.500
Al 0.000 0.392 0.250
Al 0.608 0.608 0.250
Al 0.392 0.000 0.250
Al 0.000 0.608 0.750
Al 0.392 0.392 0.750
Al 0.608 0.000 0.750

No. 9
Entry from Alexandria: a geometry-optimized RbCrAuS2 structure (GGA-PBE).

Values from the calculation:
Its energy relative to the elements, uncorrected is -0.60 eV/atom. The symmetry is Cmme. As for the crystal system: orthorhombic. Its total energy is -5.03 eV per atom.

Lattice parameters (Å, degrees): 5.528 6.444 7.771 114.50 90.00 90.00
Last column: magnetic moment on the atom in μB.
Element x y z (fractional)
Rb 0.211 0.750 0.500  0.01
Rb 0.789 0.250 0.500  0.01
Cr 0.500 0.750 0.000  3.45
Cr 0.500 0.250 0.000  3.45
Au 0.000 0.000 0.000  0.06
Au 0.000 0.500 0.000  0.06
S 0.676 0.892 0.784  -0.03
S 0.676 0.608 0.216  -0.03
S 0.324 0.392 0.784  -0.03
S 0.324 0.108 0.216  -0.03

No. 10
Entry from Alexandria: a geometry-optimized CeHfHgPb structure (GGA-PBE).

Values from the calculation:
The symmetry is F-43m. As for the crystal system: cubic. Its formation energy is -0.068 eV/atom. Its total energy is -5.04 eV per atom.

Lattice parameters (Å, degrees): 5.248 5.248 5.248 60.00 60.00 60.00
Last column: magnetic moment on the atom in μB.
Element x y z (fractional)
Pb 0.750 0.750 0.750  0.00
Hf 0.500 0.500 0.500  0.46
Hg 0.250 0.250 0.250  0.01
Ce 0.000 0.000 0.000  0.88

No. 11
Entry from Alexandria: a geometry-optimized SmGeSe3 structure (GGA-PBE).

Values from the calculation:
Its energy relative to the elements, uncorrected is -0.93 eV/atom. The symmetry is Pna2_1. As for the crystal system: orthorhombic. Its total energy is -4.89 eV per atom. The relative energy among the computed polymorphs is 47 meV per atom.

Lattice parameters (Å, degrees): 6.942 7.675 10.217 90.00 90.00 90.00
Element x y z (fractional)
Sm 0.084 0.117 0.713
Sm 0.416 0.617 0.713
Sm 0.584 0.383 0.213
Sm 0.916 0.883 0.213
Ge 0.407 0.823 0.075
Ge 0.593 0.177 0.575
Ge 0.093 0.323 0.075
Ge 0.907 0.677 0.575
Se 0.819 0.177 0.389
Se 0.792 0.152 0.026
Se 0.181 0.823 0.889
Se 0.208 0.848 0.526
Se 0.292 0.348 0.526
Se 0.726 0.895 0.708
Se 0.708 0.652 0.026
Se 0.774 0.395 0.708
Se 0.681 0.677 0.389
Se 0.319 0.323 0.889
Se 0.226 0.605 0.208
Se 0.274 0.105 0.208

No. 12
Entry from Alexandria: a geometry-optimized HoCd5Au6 structure (GGA-PBE).

Values from the calculation:
The symmetry is C2/m. As for the crystal system: monoclinic. Its formation energy is -0.313 eV/atom. Its total energy is -2.71 eV per atom.

Lattice parameters (Å, degrees): 4.739 8.210 8.210 115.83 106.74 106.74
Element x y z (fractional)
Au 0.256 0.085 0.421
Au 0.744 0.579 0.915
Au 0.753 0.253 0.253
Au 0.247 0.747 0.747
Au 0.256 0.421 0.085
Au 0.744 0.915 0.579
Ho 0.000 0.000 0.000
Cd 0.500 0.165 0.835
Cd 0.000 0.332 0.668
Cd 0.500 0.500 0.500
Cd 0.000 0.668 0.332
Cd 0.500 0.835 0.165

No. 13
Entry from Alexandria: a geometry-optimized GeCSe3 structure (GGA-PBE).

Values from the calculation:
Its energy relative to the elements, uncorrected is 0.99 eV/atom. The symmetry is Pm-3m. As for the crystal system: cubic. Its total energy is -3.87 eV per atom. The relative energy among the computed polymorphs is 0 meV per atom.

Lattice parameters (Å, degrees): 4.471 4.471 4.471 90.00 90.00 90.00
Element x y z (fractional)
Ge 0.500 0.500 0.500
C 0.000 0.000 0.000
Se 0.000 0.500 0.000
Se 0.000 0.000 0.500
Se 0.500 0.000 0.000

No. 14
Entry from Alexandria: a geometry-optimized BaSn3Pt structure (GGA-PBE).

Values from the calculation:
The symmetry is Pm-3m. As for the crystal system: cubic. Its formation energy is -0.244 eV/atom. Its total energy is -4.24 eV per atom.

Lattice parameters (Å, degrees): 5.397 5.397 5.397 90.00 90.00 90.00
Element x y z (fractional)
Ba 0.500 0.500 0.500
Pt 0.000 0.000 0.000
Sn 0.000 0.500 0.000
Sn 0.000 0.000 0.500
Sn 0.500 0.000 0.000

No. 15
Entry from Alexandria: a geometry-optimized Pm5Pr6Tl structure (GGA-PBE).

Values from the calculation:
The symmetry is Immm. As for the crystal system: orthorhombic. Its formation energy is -0.039 eV/atom. Its total energy is -4.61 eV per atom.

Lattice parameters (Å, degrees): 5.110 9.682 9.682 107.27 105.28 105.28
Element x y z (fractional)
Pr 0.244 0.080 0.408
Pr 0.756 0.592 0.920
Pr 0.744 0.244 0.244
Pr 0.256 0.756 0.756
Pr 0.244 0.408 0.080
Pr 0.756 0.920 0.592
Tl 0.000 0.000 0.000
Pm 0.500 0.169 0.831
Pm 0.000 0.337 0.663
Pm 0.500 0.500 0.500
Pm 0.000 0.663 0.337
Pm 0.500 0.831 0.169

No. 16
Entry from Alexandria: a geometry-optimized PmAl2SiNi2 structure (GGA-PBE).

Values from the calculation:
Its energy relative to the elements, uncorrected is -0.46 eV/atom. The symmetry is P4/mmm. As for the crystal system: tetragonal. Its total energy is -5.33 eV per atom.

Lattice parameters (Å, degrees): 4.290 4.290 5.610 90.00 90.00 90.00
Element x y z (fractional)
Pm 0.000 0.000 0.500
Al 0.500 0.500 0.745
Al 0.500 0.500 0.255
Si 0.000 0.000 0.000
Ni 0.500 0.000 0.000
Ni 0.000 0.500 0.000

No. 17
Entry from Alexandria: a geometry-optimized LiPrMgRh structure (GGA-PBE).

Values from the calculation:
The symmetry is F-43m. As for the crystal system: cubic. Its formation energy is -0.335 eV/atom. Its total energy is -4.24 eV per atom.

Lattice parameters (Å, degrees): 4.880 4.880 4.880 60.00 60.00 60.00
Element x y z (fractional)
Pr 0.250 0.250 0.250
Mg 0.750 0.750 0.750
Rh 0.500 0.500 0.500
Li 0.000 0.000 0.000

No. 18
Entry from Alexandria: a geometry-optimized Al2Cu3O6 structure (GGA-PBE).

Values from the calculation:
Its energy relative to the elements, uncorrected is -1.44 eV/atom. The symmetry is P2_1. As for the crystal system: monoclinic. Its total energy is -5.94 eV per atom. The relative energy among the computed polymorphs is 0 meV per atom.

Lattice parameters (Å, degrees): 11.098 2.934 7.918 79.28 90.00 90.00
Last column: magnetic moment on the atom in μB.
Element x y z (fractional)
Al 0.013 0.053 0.899  0.00
Al 0.006 0.376 0.250  0.00
Al 0.513 0.947 0.101  0.00
Al 0.506 0.624 0.750  0.00
Cu 0.281 0.091 0.814  0.45
Cu 0.176 0.725 0.550  0.62
Cu 0.267 0.449 0.097  0.13
Cu 0.767 0.551 0.903  0.13
Cu 0.676 0.275 0.450  0.62
Cu 0.781 0.909 0.186  0.45
O 0.608 0.515 0.969  0.06
O 0.574 0.180 0.638  0.12
O 0.627 0.859 0.280  0.29
O 0.127 0.141 0.720  0.29
O 0.074 0.820 0.362  0.12
O 0.108 0.485 0.031  0.06
O 0.923 0.590 0.826  0.03
O 0.837 0.327 0.349  0.39
O 0.940 0.943 0.118  0.08
O 0.440 0.057 0.882  0.08
O 0.337 0.673 0.651  0.39
O 0.423 0.410 0.174  0.03

No. 19
Entry from Alexandria: a geometry-optimized TmMgGeAu structure (GGA-PBE).

Values from the calculation:
The symmetry is F-43m. As for the crystal system: cubic. Its formation energy is -0.641 eV/atom. Its total energy is -4.13 eV per atom.

Lattice parameters (Å, degrees): 4.874 4.874 4.874 60.00 60.00 60.00
Element x y z (fractional)
Ge 0.500 0.500 0.500
Tm 0.750 0.750 0.750
Au 0.000 0.000 0.000
Mg 0.250 0.250 0.250

No. 20
Entry from Alexandria: a geometry-optimized PrNd2Cd2 structure (GGA-PBE).

Values from the calculation:
The symmetry is C2/m. As for the crystal system: monoclinic. Its formation energy is -0.192 eV/atom. Its total energy is -3.42 eV per atom. The relative energy among the computed polymorphs is 60 meV per atom.

Lattice parameters (Å, degrees): 5.028 7.267 11.344 130.25 102.80 90.00
Element x y z (fractional)
Pr 0.500 0.750 0.000
Pr 0.500 0.250 0.000
Nd 0.121 0.241 0.242
Nd 0.879 0.259 0.758
Nd 0.879 0.759 0.758
Nd 0.121 0.741 0.242
Cd 0.701 0.150 0.401
Cd 0.701 0.650 0.401
Cd 0.299 0.850 0.599
Cd 0.299 0.350 0.599